# Mg3V5O12 PBE+U relaxed
data_Mg3V5O12
_chemical_formula_sum 'Mg24 V40 O96'
_symmetry_space_group_name_H-M 'I a -3 d'
_symmetry_Int_Tables_number 230
_symmetry_space_group_name_Hall '-I 4bd 2c 3'
_cell_length_a 12.1975
_cell_length_b 12.1975
_cell_length_c 12.1975
_cell_angle_alpha 90.00
_cell_angle_beta 90.00
_cell_angle_gamma 90.00
loop_
_atom_site_label
_atom_site_type_symbol
_atom_site_fract_x
_atom_site_fract_y
_atom_site_fract_z
_atom_site_occupancy
Mg1 Mg 0.0000 0.2500 0.1250 1
V1 V 0.0000 0.0000 0.0000 1
V2 V 0.0000 0.2500 0.3750 1
O1 O 0.0269 0.0574 0.6529 1
# N(E_F)   57.3 states/eV per cell
# Crystal system   cubic
# DFT total energy   -7.159 eV per atom